This record from Alexandria via LeMat-Bulk describes an optimized crystal structure of CaNbCu. The functional is PBE.

It has space group C2/m (No. 12), with a = 11.539 Å, b = 3.483 Å, c = 6.424 Å, α = 90.00°, β = 103.95° and γ = 90.00°. The inequivalent atoms are Ca at (0.002, 0.000, 0.244), Nb at (0.205, 0.500, 0.610) and Cu at (0.194, 0.500, 0.079).

The energy of formation from the pure elements is 272 meV/atom. The value obtained for the total magnetic moment is 0.00 μB/atom.


This record from Alexandria via LeMat-Bulk describes an optimized crystal structure of ErTh2Te5. The functional is PBE.

It has space group Cmcm (No. 63), with a = 6.195 Å, b = 13.967 Å, c = 14.911 Å, α = 90.00°, β = 90.00° and γ = 90.00°. The inequivalent atoms are Er at (0.000, 0.214, 0.250), Th at (0.000, 0.160, 0.554), Te at (0.000, 0.049, 0.124), Te at (0.000, 0.255, 0.750) and Te at (0.000, 0.343, 0.078).

The value obtained for the uncorrected formation energy is -1.15 eV per atom. The value obtained for the total magnetic moment is 0.00 μB/atom.


This record from Alexandria via LeMat-Bulk describes an optimized crystal structure of MgH2W. The functional is PBE.

It has space group Fm-3m (No. 225), with a = 5.397 Å, b = 5.397 Å, c = 5.397 Å, α = 90.00°, β = 90.00° and γ = 90.00°. The inequivalent atoms are Mg at (0.000, 0.000, 0.000), H at (0.250, 0.250, 0.250) and W at (0.000, 0.000, 0.500).

The value obtained for the total magnetic moment is 0.00 μB/atom. The uncorrected energy is -4.285 eV/atom.


This record from Alexandria via LeMat-Bulk describes an optimized crystal structure of ScPaTi2. The functional is PBE.

It has space group R3m (No. 160, hexagonal axes), with a = 3.0825 Å, b = 3.0825 Å, c = 30.2651 Å, α = 90.00°, β = 90.00° and γ = 120.00°. The inequivalent atoms are Sc at (0.0000, 0.0000, 0.0000), Pa at (0.0000, 0.0000, 0.8334), Ti at (0.0000, 0.0000, 0.4165) and Ti at (0.0000, 0.0000, 0.5834).

The energy of formation from the pure elements is 114 meV/atom. The value obtained for the total magnetic moment is 0.00 μB/atom.


This record from Alexandria via LeMat-Bulk describes an optimized crystal structure of Nd10Sm4Y. The functional is PBE.

It has space group I4/m (No. 87), with a = 12.920 Å, b = 12.920 Å, c = 6.832 Å, α = 90.00°, β = 90.00° and γ = 90.00°. The inequivalent atoms are Nd at (0.000, 0.500, 0.250), Nd at (0.128, 0.710, 0.245), Sm at (0.066, 0.175, 0.500) and Y at (0.000, 0.000, 0.000).

The energy of formation from the pure elements is 526 meV/atom. The value obtained for the total magnetic moment is 0.00 μB/atom.


This record from Alexandria via LeMat-Bulk describes an optimized crystal structure of Ca2CuNi2. The functional is PBE.

It has space group C2/c (No. 15), with a = 9.097 Å, b = 5.451 Å, c = 7.742 Å, α = 90.00°, β = 102.81° and γ = 90.00°. The inequivalent atoms are Ca at (0.151, 0.134, 0.151), Cu at (0.000, 0.377, 0.750) and Ni at (0.130, 0.368, 0.502).

The energy of formation from the pure elements is -146 meV/atom. The value obtained for the total magnetic moment is 0.00 μB/atom.


This record from Alexandria via LeMat-Bulk describes an optimized crystal structure of TbUOsRu. The functional is PBE.

It has space group R3m (No. 160, hexagonal axes), with a = 4.4398 Å, b = 4.4398 Å, c = 15.0510 Å, α = 90.00°, β = 90.00° and γ = 120.00°. The inequivalent atoms are Tb at (0.0000, 0.0000, 0.0000), U at (0.0000, 0.0000, 0.5006), Os at (0.0000, 0.0000, 0.7867) and Ru at (0.0000, 0.0000, 0.2066).

The energy of formation from the pure elements is -241 meV/atom. The value obtained for the total magnetic moment is 0.00 μB/atom.


This record from Alexandria via LeMat-Bulk describes an optimized crystal structure of Ho3Hf. The functional is PBE.

It has space group Pm-3m (No. 221), with a = 4.821 Å, b = 4.821 Å, c = 4.821 Å, α = 90.00°, β = 90.00° and γ = 90.00°. The inequivalent atoms are Ho at (0.000, 0.000, 0.500) and Hf at (0.500, 0.500, 0.500).

The energy of formation from the pure elements is 135 meV/atom. The value obtained for the total magnetic moment is 0.00 μB/atom.


This record from Alexandria via LeMat-Bulk describes an optimized crystal structure of BaLiNiH2. The functional is PBE.

It has space group P4/mmm (No. 123), with a = 4.690 Å, b = 4.690 Å, c = 8.673 Å, α = 90.00°, β = 90.00° and γ = 90.00°. The inequivalent atoms are Ba at (0.000, 0.000, 0.000), Li at (0.000, 0.000, 0.500), Ni at (0.500, 0.500, 0.500) and H at (0.000, 0.500, 0.000).

The value obtained for the total magnetic moment is 0.20 μB/atom. The uncorrected energy is -2.489 eV/atom.


This record from Alexandria via LeMat-Bulk describes an optimized crystal structure of Ca5CdCu2. The functional is PBE.

It has space group I4/mcm (No. 140), with a = 7.936 Å, b = 7.936 Å, c = 14.711 Å, α = 90.00°, β = 90.00° and γ = 90.00°. The inequivalent atoms are Ca at (0.000, 0.000, 0.000), Ca at (0.168, 0.332, 0.140), Cd at (0.000, 0.000, 0.250) and Cu at (0.114, 0.386, 0.500).

The energy of formation from the pure elements is -192 meV/atom. The value obtained for the total magnetic moment is 0.00 μB/atom.


This record from Alexandria via LeMat-Bulk describes an optimized crystal structure of TiAgRuO6. The functional is PBE.

It has space group P-31c (No. 163), with a = 5.1307 Å, b = 5.1307 Å, c = 9.4891 Å, α = 90.00°, β = 90.00° and γ = 120.00°. The inequivalent atoms are Ti at (0.3333, 0.6667, 0.2500), Ag at (0.0000, 0.0000, 0.0000), Ru at (0.3333, 0.6667, 0.7500) and O at (0.0056, 0.3703, 0.6375).

The value obtained for the uncorrected formation energy is -1.29 eV per atom. The value obtained for the total magnetic moment is 0.09 μB/atom.


This record from Alexandria via LeMat-Bulk describes an optimized crystal structure of Pm2Nd12Tm5. The functional is PBE.

It has space group C2/m (No. 12), with a = 18.026 Å, b = 11.734 Å, c = 6.235 Å, α = 90.00°, β = 102.44° and γ = 90.00°. The inequivalent atoms are Pm at (0.000, 0.228, 0.000), Nd at (0.057, 0.500, 0.273), Nd at (0.105, 0.248, 0.615), Nd at (0.122, 0.000, 0.999), Nd at (0.198, 0.260, 0.199), Tm at (0.000, 0.000, 0.500), Tm at (0.178, 0.500, 0.858) and Tm at (0.215, 0.000, 0.550).

The energy of formation from the pure elements is 100 meV/atom. The value obtained for the total magnetic moment is 0.00 μB/atom.


Theoretical density? In order: 5.2 6.5 8.9 7.4 6.2 4.6 13.3 10.0 1.8 3.2 5.4 7.4 g/cm³.
Density of states at the Fermi level? In order: 0.698 0.251 0.601 1.849 1.815 0.395 0.715 1.129 1.262 0.570 0.504 1.351 states/eV per atom.